Entry 1:
# LiRu3

An optimized crystal structure of LiRu3 (PBE, the Alexandria database).

Cell: 4.232 4.232 4.232 Å, 60.00 60.00 60.00°
Element x y z (fractional)
Li (0.000, 0.000, 0.000)
Ru (0.250, 0.250, 0.250)
Ru (0.500, 0.500, 0.500)
Ru (0.750, 0.750, 0.750)

Properties
* formation energy: 1.2 eV/f.u.

***

Entry 2:
# Na9Tl2In

An optimized crystal structure of Na9Tl2In (PBE, the Alexandria database).

Cell: 6.135 7.799 8.689 Å, 111.35 92.44 104.12°
Element x y z (fractional)
Na (0.000, 0.000, 0.000)
Na (0.083, 0.746, 0.578)
Na (0.192, 0.532, 0.179)
Na (0.244, 0.228, 0.725)
Na (0.420, 0.747, 0.907)
Na (0.580, 0.253, 0.093)
Na (0.756, 0.772, 0.275)
Na (0.808, 0.468, 0.821)
Na (0.917, 0.254, 0.422)
Tl (0.352, 0.022, 0.334)
Tl (0.648, 0.978, 0.666)
In (0.500, 0.500, 0.500)

Properties
* formation energy: -0.7 eV/f.u.

***

Entry 3:
# LaPmDyTh2

An optimized crystal structure of LaPmDyTh2 (PBE, the Alexandria database).

Cell: 8.588 8.588 6.752 Å, 90.00 90.00 133.73°
Element x y z (fractional)
La (0.246, 0.754, 0.750)
La (0.754, 0.246, 0.250)
Pm (0.349, 0.651, 0.250)
Pm (0.651, 0.349, 0.750)
Dy (0.150, 0.850, 0.250)
Dy (0.850, 0.150, 0.750)
Th (0.249, 0.249, 0.000)
Th (0.249, 0.249, 0.500)
Th (0.751, 0.751, 0.000)
Th (0.751, 0.751, 0.500)

Properties
* formation energy: 1.7 eV/f.u.

***

Entry 4:
# Pr3TlTe2

An optimized crystal structure of Pr3TlTe2 (PBE, the Alexandria database).

Cell: 7.987 7.987 7.987 Å, 147.61 132.57 58.60°
Element x y z (fractional)
Pr (0.000, 0.000, 0.000)
Pr (0.333, 0.333, 0.000)
Pr (0.667, 0.667, 0.000)
Tl (0.500, 0.000, 0.500)
Te (0.167, 0.667, 0.500)
Te (0.833, 0.333, 0.500)

Properties
* electronic total energy: -4.952 eV per atom

***

Entry 5:
# AcPr8Nd6

An optimized crystal structure of AcPr8Nd6 (PBE, the Alexandria database).

Cell: 8.836 8.836 8.836 Å, 66.02 66.02 66.02°
Element x y z (fractional)
Ac (0.000, 0.000, 0.000)
Pr (0.082, 0.774, 0.651)
Pr (0.226, 0.349, 0.918)
Pr (0.349, 0.918, 0.226)
Pr (0.428, 0.428, 0.428)
Pr (0.572, 0.572, 0.572)
Pr (0.651, 0.082, 0.774)
Pr (0.774, 0.651, 0.082)
Pr (0.918, 0.226, 0.349)
Nd (0.105, 0.553, 0.270)
Nd (0.270, 0.105, 0.553)
Nd (0.447, 0.730, 0.895)
Nd (0.553, 0.270, 0.105)
Nd (0.730, 0.895, 0.447)
Nd (0.895, 0.447, 0.730)

Properties
* formation energy: 2.1 eV/f.u.

***

Entry 6:
# TaInNi2

An optimized crystal structure of TaInNi2 (PBE, the Alexandria database).

Cell: 4.407 4.407 4.407 Å, 60.00 60.00 60.00°
Element x y z (fractional)
Ta (0.000, 0.000, 0.000)
In (0.750, 0.750, 0.750)
Ni (0.250, 0.250, 0.250)
Ni (0.500, 0.500, 0.500)

Properties
* formation energy: 0.7 eV/f.u.

***

no.,magnetization (μB per formula unit)
1,0.0
2,0.0
3,0.0
4,0.0
5,0.0
6,0.0